Compound: PaCr2CdO8
Source: the Alexandria database
Functional: PBE with a Hubbard U
Structure: optimized geometry

Geometry as POSCAR:
```
PaCr2CdO8
1.0
-5.830 1.350 0.102
1.623 -4.237 3.903
2.982 4.977 1.468
O Cr Pa Cd
8 2 1 1
direct
0.919 0.218 0.300
0.323 0.142 0.819
0.858 0.677 0.181
0.381 0.081 0.300
0.919 0.619 0.700
0.323 0.505 0.181
0.782 0.081 0.700
0.495 0.677 0.819
0.500 0.500 0.000
0.750 0.250 0.500
0.000 0.000 0.000
0.250 0.750 0.500
```

Properties
- SG: I-4m2, No. 119
- Final energy: -7.35 eV per atom